{
  "formula": "Th8TlC6",
  "functional": "GGA-PBE",
  "state": "optimized geometry",
  "total_energy_ev_per_cell": -117.61,
  "dos_ef_per_ev_fu": 12.5,
  "cell": [[7.1246, 0.0791, 0.0817], [-0.1431, 7.1236, 0.0817], [-0.1431, -0.1477, 7.1225]],
  "species": ["Th", "Th", "Th", "Th", "Th", "Th", "Th", "Th", "Tl", "C", "C", "C", "C", "C", "C"],
  "frac_coords": [[0.7272, 0.7272, 0.7272], [0.2728, 0.2728, 0.2728], [0.6034, 0.8576, 0.2878], [0.8576, 0.2878, 0.6034], [0.2878, 0.6034, 0.8576], [0.3966, 0.1424, 0.7122], [0.1424, 0.7122, 0.3966], [0.7122, 0.3966, 0.1424], [0.0000, 0.0000, 0.0000], [0.6082, 0.4204, 0.8147], [0.4204, 0.8147, 0.6082], [0.8147, 0.6082, 0.4204], [0.3918, 0.5796, 0.1853], [0.5796, 0.1853, 0.3918], [0.1853, 0.3918, 0.5796]]
}


{
  "formula": "Th4TlC",
  "functional": "GGA-PBE",
  "state": "optimized geometry",
  "total_energy_ev_per_cell": -81.65,
  "dos_ef_per_ev_fu": 6.2,
  "cell": [[4.9657, 0.0000, 0.0000], [0.0000, 7.4832, 0.0000], [0.0000, 0.0000, 9.5756]],
  "species": ["Th", "Th", "Th", "Th", "Th", "Th", "Th", "Th", "Tl", "Tl", "C", "C"],
  "frac_coords": [[0.3953, 0.7233, 0.0000], [0.8953, 0.4553, 0.0000], [0.3953, 0.2162, 0.7945], [0.8953, 0.7838, 0.7055], [0.3953, 0.5447, 0.5000], [0.8953, 0.2767, 0.5000], [0.8953, 0.7838, 0.2945], [0.3953, 0.2162, 0.2055], [0.8953, 0.0180, 0.0000], [0.3953, 0.9820, 0.5000], [0.3954, 0.3954, 0.0000], [0.8954, 0.6046, 0.5000]]
}